First-principles (PBE+U) data for crystalline AlCrBrO2 at its relaxed geometry, as listed in Alexandria.

Summary:
**D(E_F)**: 0.786 states/eV per atom
**E_tot**: -5.342 eV per atom

a = 3.6396 Å, b = 3.6396 Å, c = 6.5489 Å
α = 90.00°, β = 90.00°, γ = 90.00°
With the nearest neighbours (Å) after each atom.
Space group P4/mmm (No. 123)
Inequivalent atoms, fractional coordinates:
1 Al 0.0000 0.0000 0.0000 (multiplicity 1)  4 O 1.82
2 Cr 0.0000 0.0000 0.5000 (multiplicity 1)  4 Br 2.57
3 Br 0.5000 0.5000 0.5000 (multiplicity 1)  4 Cr 2.57
4 O 0.0000 0.5000 0.0000 (multiplicity 2)  2 Al 1.82